(1)
An optimized crystal structure of LaCdTe2. Source: Alexandria via LeMat-Bulk, functional PBEsol.

Unit cell a=4.2446 b=4.5316 c=6.4565 alpha=90.00 beta=109.19 gamma=90.00
Sites, in units of the cell vectors:
1 Te 0.0073 0.5000 0.0146
2 Te 0.2726 0.0000 0.5451
3 La 0.7138 0.5000 0.4276
4 Cd 0.5063 0.0000 0.0126

Summary:
Space group: Amm2, No. 38

---

(2)
An optimized crystal structure of YRe2WO. Source: Alexandria via LeMat-Bulk, functional PBEsol.

Unit cell a=4.1261 b=4.1261 c=4.3768 alpha=90.00 beta=90.00 gamma=90.00
Sites, in units of the cell vectors:
1 Y 0.0000 0.0000 0.5000
2 Re 0.0000 0.5000 0.0000
3 Re 0.5000 0.0000 0.0000
4 O 0.0000 0.0000 0.0000
5 W 0.5000 0.5000 0.5000

Summary:
Space group: P4/mmm, No. 123

---

(3)
An optimized crystal structure of Tl2PtCl. Source: Alexandria via LeMat-Bulk, functional PBEsol.

Unit cell a=3.1300 b=3.6593 c=7.5969 alpha=90.00 beta=90.00 gamma=90.00
Sites, in units of the cell vectors:
1 Tl 0.0000 0.0000 0.7240
2 Tl 0.0000 0.0000 0.2760
3 Pt 0.5000 0.5000 0.5000
4 Cl 0.5000 0.5000 0.0000

Summary:
Space group: Pmmm, No. 47
ΔE to the lowest computed polymorph, meV per atom: 114.1

---

no.,formation energy (no corrections) (eV per formula unit)
1,-4.24
2,0.69
3,-0.62